LiThBiIr: optimized geometry, PBE.

abc: 7.030 7.030 7.030
angles: 90.00 90.00 90.00
Space group F-43m (No. 216)
Unique sites:
Li 0.000 0.000 0.000
Th 0.250 0.250 0.250
Bi 0.250 0.250 0.750
Ir 0.000 0.000 0.500

=====

Sn6TeAs2S3: optimized geometry, PBE.

abc: 18.374 4.157 8.398
angles: 90.00 103.72 90.00
Space group C2/m (No. 12)
Unique sites:
Sn 0.002 0.000 0.272
Sn 0.173 0.500 0.573
Sn 0.175 0.500 0.086
Te 0.000 0.500 0.000
As 0.165 0.000 0.334
S 0.000 0.500 0.500
S 0.170 0.000 0.845

## Properties
energy relative to the elements, uncorrected: -0.216 eV/atom

=====

KCaAgI4: optimized geometry, PBE.

abc: 7.595 8.293 9.553
angles: 90.00 107.58 90.00
Space group P2_1/m (No. 11)
Unique sites:
K 0.201 0.250 0.042
Ca 0.218 0.250 0.557
Ag 0.236 0.750 0.328
I 0.023 0.510 0.717
I 0.461 0.750 0.141
I 0.493 0.750 0.612

## Properties
energy relative to the elements, uncorrected: -1.134 eV/atom

=====

Number 1: total DFT energy (no corrections) -5.9307 eV/atom, D(E_F) 0.925 states/eV per atom. Number 2: total DFT energy (no corrections) -4.2857 eV/atom, D(E_F) 0.493 states/eV per atom. Number 3: total DFT energy (no corrections) -2.8698 eV/atom, D(E_F) 0.000 states/eV per atom.